[1]
DFT (PBE-GGA) results for Pa6AlGa after structural relaxation.

Geometry as POSCAR:
```
Pa6AlGa
1.0
4.478 0.000 0.000
0.000 6.374 -0.717
0.000 0.718 6.374
Pa Ga Al
6 1 1
Cartesian
0.000 1.780 1.420 Pa
2.239 0.359 3.187 Pa
0.000 2.138 4.594 Pa
2.239 3.187 -0.359 Pa
0.000 5.312 4.237 Pa
0.000 4.954 1.063 Pa
2.239 3.546 2.828 Ga
2.239 0.000 0.000 Al
```

Calculated values
Magnetization = 0.00 μB per formula unit
DFT formation energy = -2.98 kcal/mol of atoms
V = 184.3 Å³/cell
DOS(E_F) = 19.36 states/eV per cell

[2]
DFT (PBE-GGA) results for Mg3GaRh2 after structural relaxation.

Geometry as POSCAR:
```
Mg3GaRh2
1.0
6.591 -0.200 -0.145
2.742 5.997 -0.145
2.742 1.703 5.752
Ga Mg Rh
2 6 4
Cartesian
6.038 3.751 2.731 Ga
0.000 0.000 0.000 Ga
8.415 2.267 3.051 Mg
5.761 4.912 5.286 Mg
5.119 1.553 4.241 Mg
6.315 2.589 0.175 Mg
6.956 5.949 1.220 Mg
3.660 5.235 2.410 Mg
1.894 1.177 0.857 Rh
7.932 4.927 3.588 Rh
10.181 6.324 4.605 Rh
4.144 2.574 1.874 Rh
```

Calculated values
Magnetization = 0.00 μB per formula unit
DFT formation energy = -5.05 kcal/mol of atoms
V = 233.9 Å³/cell
DOS(E_F) = 4.70 states/eV per cell

[3]
DFT (PBE-GGA) results for YBe2Br after structural relaxation.

Geometry as POSCAR:
```
YBe2Br
1.0
8.203 -0.001 -0.001
7.477 3.374 -0.001
7.477 1.608 2.966
Y Be Br
1 2 1
Cartesian
17.368 3.735 2.223 Y
22.946 4.935 2.937 Be
11.790 2.536 1.509 Be
5.789 1.245 0.741 Br
```

Calculated values
ΔE_f (raw) = 2.02 eV/f.u.
Magnetization = 0.16 μB per formula unit
V = 82.1 Å³/cell
Energy relative to the lowest polymorph listed for this composition = 66.5 kJ/mol of atoms
DOS(E_F) = 3.08 states/eV per cell

[4]
DFT (PBE-GGA) results for BaCaAg4 after structural relaxation.

Geometry as POSCAR:
```
BaCaAg4
1.0
-3.496 3.348 0.342
0.640 -3.213 3.579
5.124 4.987 3.560
Ba Ag Ca
1 4 1
Cartesian
2.562 2.493 1.780 Ba
3.345 2.948 5.337 Ag
-1.077 2.174 2.144 Ag
0.302 -0.014 3.223 Ag
1.966 5.135 4.258 Ag
0.000 0.000 0.000 Ca
```

Calculated values
Magnetization = 0.00 μB per formula unit
DFT formation energy = -6.55 kcal/mol of atoms
V = 162.9 Å³/cell
Energy relative to the lowest polymorph listed for this composition = 0.0 kJ/mol of atoms
DOS(E_F) = 2.24 states/eV per cell

[5]
DFT (PBE-GGA) results for HfScB3 after structural relaxation.

Geometry as POSCAR:
```
HfScB3
1.0
-0.617 -2.645 -1.647
-0.771 -1.692 3.006
-9.193 3.634 -2.391
Hf B Sc
2 6 2
Cartesian
-4.303 -0.866 -1.592 Hf
-6.278 0.163 0.559 Hf
-7.568 1.497 -1.099 B
-1.279 -2.705 0.228 B
-9.303 2.002 -1.260 B
-3.014 -2.200 0.067 B
-3.625 -0.609 0.805 B
-6.956 -0.094 -1.838 B
-9.122 -0.422 -0.500 Sc
-1.460 -0.281 -0.533 Sc
```

Calculated values
Magnetization = 0.00 μB per formula unit
DFT formation energy = -18.08 kcal/mol of atoms
V = 112.5 Å³/cell
Energy relative to the lowest polymorph listed for this composition = 0.0 kJ/mol of atoms
DOS(E_F) = 5.47 states/eV per cell

[6]
DFT (PBE-GGA) results for SrBSbTe2 after structural relaxation.

Geometry as POSCAR:
```
SrBSbTe2
1.0
6.121 0.000 0.000
0.000 6.121 0.000
0.000 0.000 6.093
B Te Sb Sr
1 2 1 1
Cartesian
3.061 3.061 3.046 B
3.061 0.000 0.000 Te
0.000 3.061 0.000 Te
0.000 0.000 3.046 Sb
0.000 0.000 0.000 Sr
```

Calculated values
ΔE_f (raw) = 6.74 eV/f.u.
Magnetization = 0.00 μB per formula unit
V = 228.3 Å³/cell
Energy relative to the lowest polymorph listed for this composition = 129.6 kJ/mol of atoms
DOS(E_F) = 7.12 states/eV per cell

[7]
DFT (PBE-GGA) results for CrCdRu after structural relaxation.

Geometry as POSCAR:
```
CrCdRu
1.0
-5.210 -2.273 -1.538
-2.182 -4.071 -3.652
3.881 1.752 4.067
Cr Ru Cd
1 1 1
Cartesian
-5.100 -4.377 -3.581 Cr
-2.276 -1.953 -1.598 Ru
-0.016 -0.014 -0.011 Cd
```

Calculated values
Magnetization = 0.00 μB per formula unit
DFT formation energy = 5.10 kcal/mol of atoms
V = 46.5 Å³/cell
Energy relative to the lowest polymorph listed for this composition = 0.0 kJ/mol of atoms
DOS(E_F) = 1.70 states/eV per cell

[8]
DFT (PBE-GGA) results for LaCrRe2 after structural relaxation.

Geometry as POSCAR:
```
LaCrRe2
1.0
5.506 -0.004 0.000
-3.114 4.541 0.000
0.000 0.000 2.805
La Cr Re
1 1 2
Cartesian
-1.557 2.271 1.403 La
2.753 -0.002 1.403 Cr
0.000 0.000 0.000 Re
1.196 2.269 0.000 Re
```

Calculated values
Magnetization = 0.16 μB per formula unit
DFT formation energy = 21.28 kcal/mol of atoms
V = 70.1 Å³/cell
Energy relative to the lowest polymorph listed for this composition = 55.9 kJ/mol of atoms
DOS(E_F) = 4.51 states/eV per cell

[9]
DFT (PBE-GGA) results for HgPt3 after structural relaxation.

Geometry as POSCAR:
```
HgPt3
1.0
4.931 -0.012 -0.002
4.088 2.759 -0.002
-9.826 -2.992 4.933
Pt Hg
3 1
Cartesian
-4.913 -1.496 2.467 Pt
-2.441 -0.743 1.278 Pt
1.634 0.497 3.651 Pt
0.000 0.000 0.000 Hg
```

Calculated values
Magnetization = 0.00 μB per formula unit
DFT formation energy = 0.83 kcal/mol of atoms
V = 67.3 Å³/cell
DOS(E_F) = 4.29 states/eV per cell

[10]
DFT (PBE-GGA) results for Al2TlAuF after structural relaxation.

Geometry as POSCAR:
```
Al2TlAuF
1.0
5.288 0.000 0.000
0.000 4.561 0.000
0.000 0.000 5.288
Tl Al Au F
1 2 1 1
Cartesian
0.000 0.000 0.000 Tl
2.644 0.000 0.000 Al
0.000 0.000 2.644 Al
2.644 2.280 2.644 Au
0.000 2.280 0.000 F
```

Calculated values
ΔE_f (raw) = 0.66 eV/f.u.
Magnetization = 0.00 μB per formula unit
V = 127.5 Å³/cell
DOS(E_F) = 1.71 states/eV per cell

[11]
DFT (PBE-GGA) results for Nd2HoBi2 after structural relaxation.

Geometry as POSCAR:
```
Nd2HoBi2
1.0
-0.108 2.448 -3.690
-3.607 -5.800 -6.402
-7.069 4.375 3.109
Bi Nd Ho
4 4 2
Cartesian
-3.959 2.186 -2.420 Bi
-3.335 -3.247 -6.047 Bi
-7.449 4.271 -0.935 Bi
-6.825 -1.163 -4.562 Bi
-1.651 0.328 -1.062 Nd
-7.148 1.593 -2.724 Nd
-3.636 -0.569 -4.259 Nd
-9.134 0.695 -5.921 Nd
-5.597 -1.501 -7.481 Ho
-5.187 2.525 0.498 Ho
```

Calculated values
Magnetization = 0.00 μB per formula unit
DFT formation energy = -14.50 kcal/mol of atoms
V = 346.7 Å³/cell
DOS(E_F) = 10.61 states/eV per cell

[12]
DFT (PBE-GGA) results for SmHo2Tm3 after structural relaxation.

Geometry as POSCAR:
```
SmHo2Tm3
1.0
6.752 0.000 0.000
0.000 7.122 2.940
0.000 -0.926 7.649
Tm Ho Sm
6 4 2
Cartesian
3.888 0.949 4.796 Tm
0.512 5.247 5.794 Tm
5.574 0.945 1.614 Tm
0.512 2.480 7.413 Tm
3.888 3.716 3.176 Tm
2.197 5.251 8.975 Tm
3.895 2.597 7.616 Ho
0.519 0.830 4.594 Ho
0.519 3.599 2.974 Ho
3.895 5.366 5.995 Ho
5.585 5.286 9.034 Sm
2.209 0.910 1.555 Sm
```

Calculated values
Magnetization = 0.00 μB per formula unit
DFT formation energy = 5.28 kcal/mol of atoms
V = 386.3 Å³/cell
Energy relative to the lowest polymorph listed for this composition = 19.8 kJ/mol of atoms
DOS(E_F) = 18.04 states/eV per cell

[13]
DFT (PBE-GGA) results for PmNiBi after structural relaxation.

Geometry as POSCAR:
```
PmNiBi
1.0
4.459 0.000 0.000
0.000 4.459 0.000
-2.229 -2.229 7.234
Ni Bi Pm
2 2 2
Cartesian
2.229 0.000 0.000 Ni
0.000 2.229 0.000 Ni
0.000 0.000 5.510 Bi
2.229 2.229 1.724 Bi
0.000 0.000 2.134 Pm
2.229 2.229 5.101 Pm
```

Calculated values
Magnetization = 0.00 μB per formula unit
DFT formation energy = -9.78 kcal/mol of atoms
V = 143.8 Å³/cell
Energy relative to the lowest polymorph listed for this composition = 23.6 kJ/mol of atoms
DOS(E_F) = 4.42 states/eV per cell

[14]
DFT (PBE-GGA) results for Tb6Y2TmSc after structural relaxation.

Geometry as POSCAR:
```
Tb6Y2TmSc
1.0
8.959 -1.920 -1.993
0.806 8.454 -1.941
0.806 -2.253 8.377
Tb Tm Y Sc
12 2 4 2
Cartesian
4.088 2.915 0.690 Tb
9.365 5.036 -1.542 Tb
4.886 -0.768 5.971 Tb
6.652 -2.557 3.343 Tb
1.205 -0.754 5.986 Tb
2.172 4.395 -1.435 Tb
8.567 -0.378 1.942 Tb
2.003 4.660 2.501 Tb
3.918 6.838 1.100 Tb
8.397 -0.114 5.878 Tb
5.684 5.049 -1.528 Tb
6.482 1.367 3.753 Tb
3.045 7.716 -2.190 Tm
7.525 -3.435 6.634 Tm
5.266 4.305 3.393 Y
5.304 -0.023 1.050 Y
9.745 2.271 3.431 Y
0.825 2.010 1.012 Y
7.525 2.582 0.835 Sc
3.045 1.699 3.608 Sc
```

Calculated values
Magnetization = 0.00 μB per formula unit
DFT formation energy = 3.01 kcal/mol of atoms
V = 628.4 Å³/cell
DOS(E_F) = 26.30 states/eV per cell

[15]
DFT (PBE-GGA) results for Y6TlSn2Te3 after structural relaxation.

Geometry as POSCAR:
```
Y6TlSn2Te3
1.0
-3.978 -1.824 -0.127
3.668 -8.039 0.571
0.340 3.877 9.150
Tl Sn Te Y
1 2 3 6
Cartesian
-1.989 -0.912 -0.063 Tl
0.653 -1.645 3.169 Sn
-0.623 -4.341 6.425 Sn
2.486 -5.667 3.517 Te
-0.155 -4.931 0.222 Te
-2.456 -0.320 6.076 Te
-0.456 -4.494 3.355 Y
2.255 -5.376 6.585 Y
-2.721 0.042 9.161 Y
2.750 -6.029 0.432 Y
0.485 -1.492 6.238 Y
-2.225 -0.611 3.009 Y
```

Calculated values
ΔE_f (raw) = -11.83 eV/f.u.
Magnetization = 0.00 μB per formula unit
V = 360.1 Å³/cell
DOS(E_F) = 5.53 states/eV per cell

[16]
DFT (PBE-GGA) results for TiAuC2N after structural relaxation.

Geometry as POSCAR:
```
TiAuC2N
1.0
-4.092 -0.569 -0.187
0.292 -2.937 2.537
-0.512 2.654 3.130
C Au N Ti
2 1 1 1
Cartesian
-0.256 1.327 1.565 C
-2.046 -0.284 -0.094 C
-2.156 -0.426 2.740 Au
0.146 -1.468 1.269 N
0.000 0.000 0.000 Ti
```

Calculated values
ΔE_f (raw) = 8.72 eV/f.u.
Magnetization = 0.00 μB per formula unit
V = 66.6 Å³/cell
DOS(E_F) = 2.84 states/eV per cell

[17]
DFT (PBE-GGA) results for MgMo2As after structural relaxation.

Geometry as POSCAR:
```
MgMo2As
1.0
4.252 0.510 0.000
-1.190 4.114 0.000
0.000 0.000 3.509
As Mo Mg
1 2 1
Cartesian
2.126 0.255 1.754 As
0.000 0.000 0.000 Mo
1.531 2.312 0.000 Mo
-0.595 2.057 1.754 Mg
```

Calculated values
Magnetization = 0.00 μB per formula unit
DFT formation energy = 8.01 kcal/mol of atoms
V = 63.5 Å³/cell
Energy relative to the lowest polymorph listed for this composition = 33.0 kJ/mol of atoms
DOS(E_F) = 4.07 states/eV per cell

[18]
DFT (PBE-GGA) results for CuAsRhSe2 after structural relaxation.

Geometry as POSCAR:
```
CuAsRhSe2
1.0
-1.455 -2.348 -4.226
-1.308 -4.058 2.704
-4.197 1.690 0.506
Se Cu As Rh
2 1 1 1
Cartesian
-0.654 -2.029 1.352 Se
-0.727 -1.174 -2.113 Se
-3.480 -2.358 -0.508 Cu
-2.098 0.845 0.253 As
0.000 0.000 0.000 Rh
```

Calculated values
ΔE_f (raw) = 3.12 eV/f.u.
Magnetization = 0.00 μB per formula unit
V = 116.0 Å³/cell
Energy relative to the lowest polymorph listed for this composition = 0.0 kJ/mol of atoms
DOS(E_F) = 5.80 states/eV per cell

[19]
DFT (PBE-GGA) results for SmDyEr2Tm5 after structural relaxation.

Geometry as POSCAR:
```
SmDyEr2Tm5
1.0
5.535 0.000 0.000
-2.767 9.787 0.000
0.000 0.000 10.478
Tm Sm Er Dy
10 2 4 2
Cartesian
0.000 9.366 7.714 Tm
2.767 2.162 5.473 Tm
2.767 9.431 5.508 Tm
0.000 0.356 0.269 Tm
0.000 5.858 7.439 Tm
0.000 5.513 3.249 Tm
2.767 3.929 2.200 Tm
2.767 0.420 2.476 Tm
0.000 7.624 0.235 Tm
2.767 4.273 8.488 Tm
0.000 8.142 4.745 Sm
2.767 1.645 9.984 Sm
0.000 2.154 7.712 Er
2.767 7.577 8.579 Er
2.767 7.633 2.473 Er
0.000 2.210 3.340 Er
0.000 3.922 0.123 Dy
2.767 5.865 5.362 Dy
```

Calculated values
Magnetization = 0.00 μB per formula unit
DFT formation energy = 3.78 kcal/mol of atoms
V = 567.6 Å³/cell
DOS(E_F) = 28.09 states/eV per cell

[20]
DFT (PBE-GGA) results for Be2PSe after structural relaxation.

Geometry as POSCAR:
```
Be2PSe
1.0
5.766 0.008 -0.001
3.931 4.218 0.001
-4.857 -2.093 2.296
Be P Se
2 1 1
Cartesian
0.278 0.121 0.000 Be
2.613 2.403 1.149 Be
4.417 1.925 0.000 P
2.381 -0.203 1.147 Se
```

Calculated values
ΔE_f (raw) = 0.84 eV/f.u.
Magnetization = 0.00 μB per formula unit
V = 55.8 Å³/cell
Energy relative to the lowest polymorph listed for this composition = 53.1 kJ/mol of atoms
DOS(E_F) = 1.59 states/eV per cell

[21]
DFT (PBE-GGA) results for CsPu3Br8 after structural relaxation.

Geometry as POSCAR:
```
CsPu3Br8
1.0
9.291 0.000 0.000
-4.645 6.571 -4.623
0.000 -0.643 8.601
Br Cs Pu
8 1 3
Cartesian
4.645 3.080 -0.276 Br
0.000 3.406 -0.467 Br
2.648 -0.304 6.430 Br
6.643 -0.304 6.430 Br
4.645 2.523 4.445 Br
0.000 2.849 4.254 Br
1.997 6.233 -2.452 Br
-1.997 6.233 -2.452 Br
0.000 0.000 0.000 Cs
4.645 0.000 0.000 Pu
2.323 3.286 -2.311 Pu
-2.323 3.286 -2.311 Pu
```

Calculated values
ΔE_f (raw) = -18.25 eV/f.u.
Magnetization = 17.00 μB per formula unit
V = 497.5 Å³/cell
Energy relative to the lowest polymorph listed for this composition = 0.0 kJ/mol of atoms
DOS(E_F) = 39.46 states/eV per cell

[22]
DFT (PBE-GGA) results for AcNiRu after structural relaxation.

Geometry as POSCAR:
```
AcNiRu
1.0
4.107 0.000 0.000
0.000 7.193 0.000
0.000 -3.596 6.229
Ni Ac Ru
3 3 3
Cartesian
2.054 0.000 4.153 Ni
0.000 0.000 0.000 Ni
2.054 3.596 2.076 Ni
0.000 -1.442 2.498 Ac
0.000 2.884 0.000 Ac
0.000 2.154 3.731 Ac
2.054 0.795 1.378 Ru
2.054 -2.801 4.851 Ru
2.054 5.602 0.000 Ru
```

Calculated values
Magnetization = 0.74 μB per formula unit
DFT formation energy = 1.45 kcal/mol of atoms
V = 184.0 Å³/cell
Energy relative to the lowest polymorph listed for this composition = 12.9 kJ/mol of atoms
DOS(E_F) = 12.57 states/eV per cell

[23]
DFT (PBE-GGA) results for PH2Pd6 after structural relaxation.

Geometry as POSCAR:
```
PH2Pd6
1.0
4.939 0.717 0.381
0.430 4.593 -2.866
0.402 -0.167 5.414
Pd H P
6 2 1
Cartesian
4.193 3.773 2.065 Pd
1.849 2.598 3.447 Pd
3.915 0.759 2.401 Pd
1.578 1.370 0.864 Pd
1.855 4.384 0.528 Pd
3.922 2.544 -0.518 Pd
2.080 2.746 -0.203 H
3.691 2.397 3.131 H
0.000 0.000 0.000 P
```

Calculated values
Magnetization = 0.00 μB per formula unit
V = 117.2 Å³/cell
Energy relative to the lowest polymorph listed for this composition = 0.0 kJ/mol of atoms
DOS(E_F) = 4.12 states/eV per cell

[24]
DFT (PBE-GGA) results for AlZnCl2 after structural relaxation.

Geometry as POSCAR:
```
AlZnCl2
1.0
6.188 6.945 2.213
8.377 4.461 1.157
6.866 6.550 -1.172
Cl Al Zn
2 1 1
Cartesian
2.461 2.062 0.252 Cl
18.970 15.894 1.946 Cl
0.000 0.000 0.000 Al
10.715 8.978 1.099 Zn
```

Calculated values
ΔE_f (raw) = -1.60 eV/f.u.
Magnetization = 0.00 μB per formula unit
V = 97.7 Å³/cell
Energy relative to the lowest polymorph listed for this composition = 27.9 kJ/mol of atoms
DOS(E_F) = 0.88 states/eV per cell

[25]
DFT (PBE-GGA) results for ErCuPt after structural relaxation.

Geometry as POSCAR:
```
ErCuPt
1.0
3.511 0.000 0.000
0.000 4.334 0.000
0.000 -2.167 3.754
Cu Pt Er
1 1 1
Cartesian
0.585 0.000 0.000 Cu
0.585 0.000 2.502 Pt
2.341 2.167 1.251 Er
```

Calculated values
Magnetization = 0.00 μB per formula unit
DFT formation energy = -18.03 kcal/mol of atoms
V = 57.1 Å³/cell
Energy relative to the lowest polymorph listed for this composition = 7.8 kJ/mol of atoms
DOS(E_F) = 1.51 states/eV per cell